Compound: LaTeAs2
Source: the Alexandria database
Functional: PBE
Structure: optimized geometry

a = 4.1592 Å, b = 4.1592 Å, c = 5.9668 Å
α = 90.00°, β = 90.00°, γ = 89.99°
With the nearest neighbours (Å) after each atom.
Atoms (fractional coordinates):
Te 0.5000 0.5000 0.7500  2 La 2.98, 8 As 3.23
As 0.0000 0.0000 0.9741  1 As 2.67
As 0.0000 0.0000 0.5259  1 As 2.67
La 0.5000 0.5000 0.2500  2 Te 2.98

Values from the calculation:
space-group type: P4/mmm
formation energy (no corrections): -482 meV/atom